## CaIn2Ni2 (PBE)

Data for a relaxed structure of CaIn2Ni2.

Space group: P4/mbm (127)
Magnetic moment (μB/cell): 0.0
ΔE_f (meV per atom): -170
ΔE to the lowest computed polymorph (meV per atom): 84

Lattice parameters (Å, degrees): 7.609 7.609 3.208 90.00 90.00 90.00
Atoms (fractional coordinates):
Ca: 0.000 0.000 0.000
Ca: 0.500 0.500 0.000
In: 0.156 0.344 0.500
In: 0.344 0.844 0.500
In: 0.656 0.156 0.500
In: 0.844 0.656 0.500
Ni: 0.135 0.635 0.000
Ni: 0.365 0.135 0.000
Ni: 0.635 0.865 0.000
Ni: 0.865 0.365 0.000